{"formula": "SrEuTm", "functional": "PBE", "state": "optimized geometry", "dft_energy_ev_per_atom": -5.321, "sg": "I4mm (107)", "lattice": [[-1.917, 1.917, 8.286], [1.917, -1.917, 8.286], [1.917, 1.917, -8.286]], "species": ["Sr", "Eu", "Tm"], "frac_coords": [[0.000, 0.000, 0.000], [0.687, 0.687, 0.000], [0.333, 0.333, 0.000]]}